1.
AgOs3S | GGA-PBE | relaxed

Structure (CIF):
```
data_AgOs3S
_chemical_formula_sum 'Ag1 Os3 S1'
_cell_length_a 4.8634
_cell_length_b 4.8634
_cell_length_c 4.8634
_cell_angle_alpha 90.00
_cell_angle_beta 90.00
_cell_angle_gamma 90.00
_symmetry_space_group_name_H-M 'P 1'
_symmetry_Int_Tables_number 1
loop_
_symmetry_equiv_pos_as_xyz
'x,y,z'
loop_
_atom_site_label
_atom_site_type_symbol
_atom_site_fract_x
_atom_site_fract_y
_atom_site_fract_z
_atom_site_occupancy
Ag1 Ag 0.0000 0.0000 0.0000 1
Os1 Os 0.0000 0.0000 0.5000 1
Os2 Os 0.0000 0.5000 0.0000 1
Os3 Os 0.5000 0.0000 0.0000 1
S1 S 0.5000 0.5000 0.5000 1
```

2.
AgOs3S | GGA-PBE | relaxed

Structure (CIF):
```
data_AgOs3S
_chemical_formula_sum 'Ag1 Os3 S1'
_cell_length_a 4.3586
_cell_length_b 4.3586
_cell_length_c 4.3586
_cell_angle_alpha 90.00
_cell_angle_beta 90.00
_cell_angle_gamma 90.00
_symmetry_space_group_name_H-M 'P 1'
_symmetry_Int_Tables_number 1
loop_
_symmetry_equiv_pos_as_xyz
'x,y,z'
loop_
_atom_site_label
_atom_site_type_symbol
_atom_site_fract_x
_atom_site_fract_y
_atom_site_fract_z
_atom_site_occupancy
Ag1 Ag 0.0000 0.0000 0.0000 1
Os1 Os 0.0000 0.5000 0.5000 1
Os2 Os 0.5000 0.0000 0.5000 1
Os3 Os 0.5000 0.5000 0.0000 1
S1 S 0.5000 0.5000 0.5000 1
```

Number 1: raw formation energy 3.373 eV/atom. Number 2: raw formation energy 1.192 eV/atom.